Computed, not measured: PtIO2F at its PBEsol-relaxed geometry at the SCAN level of DFT.

Cell lengths 4.1179, 4.1179, 4.2886 Å; angles 90.00, 90.00, 90.00 degrees
With the nearest neighbours (Å) after each atom.
Element x y z (fractional)
F 0.0000 0.0000 0.0000  4 O 2.06, 2 I 2.14
O 0.5000 0.0000 0.0000  2 F 2.06
O 0.0000 0.5000 0.0000  2 F 2.06
I 0.0000 0.0000 0.5000  2 F 2.14
Pt 0.5000 0.5000 0.5000  4 I 2.91, 8 O 2.97

Computed properties:
Formation energy from raw total energies = 1.1271 eV per atom
Calculated density = 8.517 g/cm³
Fermi-level density of states = 2.7 states/eV/f.u.